Record 1
{"formula": "Np3Si", "functional": "PBE", "state": "optimized geometry", "cell": [[4.5248, 0.0000, 0.0000], [0.0000, 4.5248, 0.0000], [0.0000, 0.0000, 3.7457]], "species": ["Np", "Np", "Np", "Si"], "fractional_positions": [[0.0000, 0.0000, 0.0000], [0.0000, 0.5000, 0.6923], [0.5000, 0.0000, 0.6923], [0.5000, 0.5000, 0.1714]], "volume_a3_per_atom": 19.2, "formation_energy_uncorrected_mev_per_atom": 16, "polymorph_energy_mev_per_atom": 81.4}

---

Record 2
{"formula": "CuTc2Br", "functional": "PBE", "state": "optimized geometry", "cell": [[1.4550, 0.8401, 8.6285], [-1.4550, 0.8401, 8.6285], [0.0000, -1.6801, 8.6285]], "species": ["Cu", "Tc", "Tc", "Br"], "fractional_positions": [[0.0000, 0.0000, 0.0000], [0.2513, 0.2513, 0.2513], [0.5071, 0.5071, 0.5071], [0.7556, 0.7556, 0.7556]], "volume_a3_per_atom": 15.8, "formation_energy_uncorrected_mev_per_atom": 460, "polymorph_energy_mev_per_atom": 104.8}